Record 1
# Zn2RePb

A relaxed structure of Zn2RePb (PBEsol, the Alexandria database). Values from VASP.

Geometry as Quantum ESPRESSO input:
```
&SYSTEM
  ibrav = 0, nat = 4, ntyp = 3
/
ATOMIC_SPECIES
Zn 65.41 Zn.upf
Re 186.21 Re.upf
Pb 207.20 Pb.upf
CELL_PARAMETERS angstrom
4.842 0.000 0.000
0.000 4.842 0.000
0.000 0.000 2.877
ATOMIC_POSITIONS crystal
Zn 0.000 0.500 0.000
Zn 0.500 0.000 0.000
Re 0.000 0.000 0.500
Pb 0.500 0.500 0.500
```

Space group: P4/mmm (123)
Formation enthalpy at 0 K in kJ per mole of atoms: 63.49

***

Record 2
# IrRh2Cl

A relaxed structure of IrRh2Cl (PBEsol, the Alexandria database). Values from VASP.

Geometry as Quantum ESPRESSO input:
```
&SYSTEM
  ibrav = 0, nat = 12, ntyp = 3
/
ATOMIC_SPECIES
Ir 192.22 Ir.upf
Rh 102.91 Rh.upf
Cl 35.45 Cl.upf
CELL_PARAMETERS angstrom
2.805 0.000 0.000
-1.402 2.429 0.000
0.000 0.000 24.689
ATOMIC_POSITIONS crystal
Ir 0.000 0.000 0.000
Ir 0.333 0.667 0.667
Ir 0.667 0.333 0.333
Rh 0.000 0.000 0.248
Rh 0.000 0.000 0.752
Rh 0.333 0.667 0.418
Rh 0.333 0.667 0.915
Rh 0.667 0.333 0.085
Rh 0.667 0.333 0.582
Cl 0.000 0.000 0.500
Cl 0.333 0.667 0.167
Cl 0.667 0.333 0.833
```

ΔE to the lowest computed polymorph in eV/atom: 0.000
Space group: R-3m (166)

***

Record 3
# CsSr2I5

A relaxed structure of CsSr2I5 (PBEsol, the Alexandria database). Values from VASP.

Geometry as Quantum ESPRESSO input:
```
&SYSTEM
  ibrav = 0, nat = 32, ntyp = 3
/
ATOMIC_SPECIES
Cs 132.91 Cs.upf
Sr 87.62 Sr.upf
I 126.90 I.upf
CELL_PARAMETERS angstrom
10.170 0.000 0.000
0.000 9.006 0.000
-0.080 0.000 14.183
ATOMIC_POSITIONS crystal
Cs 0.008 0.061 0.332
Cs 0.008 0.439 0.832
Cs 0.992 0.561 0.168
Cs 0.992 0.939 0.668
Sr 0.254 0.574 0.493
Sr 0.254 0.926 0.993
Sr 0.498 0.532 0.180
Sr 0.498 0.968 0.680
Sr 0.502 0.032 0.320
Sr 0.502 0.468 0.820
Sr 0.746 0.074 0.007
Sr 0.746 0.426 0.507
I 0.039 0.180 0.074
I 0.039 0.320 0.574
I 0.277 0.686 0.718
I 0.277 0.814 0.218
I 0.287 0.159 0.814
I 0.287 0.341 0.314
I 0.290 0.545 0.998
I 0.290 0.955 0.498
I 0.457 0.165 0.097
I 0.457 0.335 0.597
I 0.543 0.665 0.403
I 0.543 0.835 0.903
I 0.710 0.045 0.502
I 0.710 0.455 0.002
I 0.713 0.659 0.686
I 0.713 0.841 0.186
I 0.723 0.186 0.782
I 0.723 0.314 0.282
I 0.961 0.680 0.426
I 0.961 0.820 0.926
```

Space group: P2_1/c (14)

***

Record 4
# Ge2SeS

A relaxed structure of Ge2SeS (PBEsol, the Alexandria database). Values from VASP.

Geometry as Quantum ESPRESSO input:
```
&SYSTEM
  ibrav = 0, nat = 8, ntyp = 3
/
ATOMIC_SPECIES
Ge 72.64 Ge.upf
Se 78.96 Se.upf
S 32.06 S.upf
CELL_PARAMETERS angstrom
3.754 0.000 0.000
0.000 4.229 0.000
0.000 0.000 10.490
ATOMIC_POSITIONS crystal
Ge 0.000 0.113 0.000
Ge 0.000 0.887 0.500
Ge 0.500 0.342 0.238
Ge 0.500 0.658 0.738
Se 0.000 0.248 0.757
Se 0.000 0.752 0.257
S 0.500 0.256 0.466
S 0.500 0.744 0.966
```

Space group: Pmc2_1 (26)

***

no.,E (eV/atom),spin magnetization (Bohr magnetons per cell)
1,-4.47,0.0
2,-6.78,0.0
3,-3.36,0.0
4,-4.79,0.0